The following is a DFT calculation (GGA-PBE) of a relaxed structure of AcCdTcH6.

Values from the calculation:
**Volume**: 99.7 Å³ per cell
**Space group**: P-6m2, No. 187
**Crystal system**: hexagonal
**Electronic total energy**: -37.20 eV per cell

a b c (Å): 4.952 4.952 4.693
angles (deg): 90.00 90.00 60.00
Positions (direct):
H 0.474 0.053 0.773
H 0.474 0.053 0.227
H 0.053 0.474 0.773
H 0.053 0.474 0.227
H 0.473 0.473 0.227
H 0.474 0.473 0.773
Tc 0.333 0.333 0.500
Cd 0.667 0.667 0.500
Ac 0.000 0.000 0.000